[1]
Computed, not measured: crystalline NaTl2Te at its relaxed geometry at the PBE level of DFT.

The structure in POSCAR format:
```
NaTl2Te
1.0
0.0000 4.0201 4.0201
4.0201 0.0000 4.0201
4.0201 4.0201 0.0000
Na Tl Te
1 2 1
Direct
0.0000 0.0000 0.0000
0.2500 0.2500 0.2500
0.7500 0.7500 0.7500
0.5000 0.5000 0.5000
```

Output
**D(E_F)**: 0.55 states/eV/atom
**Total magnetization**: 0.0000 μB/atom
**Excess energy over the best structure of this formula in the dataset**: 164 meV per atom
**Formation energy (no corrections)**: -85 kJ/mol of formula units
**Symmetry**: Fm-3m
**Volume**: 130 Å³ per cell

[2]
Computed, not measured: crystalline NaU2Tl3Te6 at its relaxed geometry at the PBE level of DFT.

The structure in POSCAR format:
```
NaU2Tl3Te6
1.0
3.9064 -6.7410 0.0000
3.9064 6.7410 0.0000
-2.5621 0.0000 8.1372
Na U Tl Te
1 2 3 6
Direct
0.0000 0.0000 0.0000
0.3320 0.6680 0.0000
0.6680 0.3320 0.0000
0.1592 0.8408 0.5000
0.5000 0.5000 0.5000
0.8408 0.1592 0.5000
0.0730 0.4288 0.2185
0.2840 0.2840 0.7915
0.4288 0.0730 0.2185
0.5712 0.9270 0.7815
0.7160 0.7160 0.2085
0.9270 0.5712 0.7815
```

Output
**D(E_F)**: 0.82 states/eV/atom
**Total magnetization**: 0.3333 μB/atom
**Formation energy (no corrections)**: -693 kJ/mol of formula units
**Symmetry**: C2/m
**Volume**: 429 Å³ per cell

[3]
Computed, not measured: crystalline NaTlTeW2 at its relaxed geometry at the PBE level of DFT.

The structure in POSCAR format:
```
NaTlTeW2
1.0
5.1051 0.0000 0.0000
0.0000 5.1051 0.0000
0.0000 0.0000 5.1587
Na Tl Te W
1 1 1 2
Direct
0.0000 0.0000 0.0000
0.5000 0.5000 0.5000
0.0000 0.0000 0.5000
0.0000 0.5000 0.0000
0.5000 0.0000 0.0000
```

Output
**D(E_F)**: 1.07 states/eV/atom
**Total magnetization**: 1.2751 μB/atom
**Formation energy (no corrections)**: 1234 kJ/mol of formula units
**Symmetry**: P4/mmm
**Volume**: 134 Å³ per cell

[4]
Computed, not measured: crystalline Na2TlZnTe at its relaxed geometry at the PBE level of DFT.

The structure in POSCAR format:
```
Na2TlZnTe
1.0
5.7213 0.0000 0.0000
0.0000 5.7213 0.0000
0.0000 0.0000 6.8401
Na Tl Zn Te
2 1 1 1
Direct
0.0000 0.5000 0.0000
0.5000 0.0000 0.0000
0.0000 0.0000 0.5000
0.5000 0.5000 0.5000
0.0000 0.0000 0.0000
```

Output
**D(E_F)**: 0.55 states/eV/atom
**Total magnetization**: 0.0000 μB/atom
**Formation energy (no corrections)**: -34 kJ/mol of formula units
**Symmetry**: P4/mmm
**Volume**: 224 Å³ per cell

[5]
Computed, not measured: crystalline NaZr3Tl4Te8 at its relaxed geometry at the PBE level of DFT.

The structure in POSCAR format:
```
NaZr3Tl4Te8
1.0
7.3946 -4.2696 0.0000
7.3946 4.2696 0.0000
-4.9298 0.0000 8.1535
Na Zr Tl Te
1 3 4 8
Direct
0.0000 0.0000 0.0000
0.0000 0.5000 0.0000
0.5000 0.0000 0.0000
0.5000 0.5000 0.0000
0.0000 0.0000 0.5000
0.0000 0.5000 0.5000
0.5000 0.0000 0.5000
0.5000 0.5000 0.5000
0.2437 0.7212 0.2085
0.2448 0.2448 0.2089
0.2640 0.2640 0.7926
0.2788 0.7563 0.7915
0.7212 0.2437 0.2085
0.7360 0.7360 0.2074
0.7552 0.7552 0.7911
0.7563 0.2788 0.7915
```

Output
**D(E_F)**: 0.32 states/eV/atom
**Total magnetization**: 0.0000 μB/atom
**Formation energy (no corrections)**: -1008 kJ/mol of formula units
**Symmetry**: C2/m
**Volume**: 515 Å³ per cell

[6]
Computed, not measured: crystalline NaZrTl2Te4 at its relaxed geometry at the PBE level of DFT.

The structure in POSCAR format:
```
NaZrTl2Te4
1.0
8.0655 0.0000 0.0000
0.0000 4.1893 0.0000
-2.2565 0.0000 7.7807
Na Zr Tl Te
1 1 2 4
Direct
0.0000 0.0000 0.0000
0.5000 0.5000 0.0000
0.0000 0.5000 0.5000
0.5000 0.0000 0.5000
0.2730 0.5000 0.2232
0.2839 0.0000 0.7883
0.7161 0.0000 0.2117
0.7270 0.5000 0.7768
```

Output
**D(E_F)**: 0.34 states/eV/atom
**Total magnetization**: 0.0000 μB/atom
**Formation energy (no corrections)**: -456 kJ/mol of formula units
**Symmetry**: P2/m
**Volume**: 263 Å³ per cell